Pm4NdCd3: optimized geometry, PBE.

Output
As for the symmetry: Pmmm. The value obtained for the formation energy is -186 meV per atom. For the magnetic moment, the calculation gives 0.40 μB per cell.

Cell lengths 3.7834, 5.5557, 11.2463 Å; angles 90.00, 90.00, 90.00 degrees
Last column: nearest neighbours and their distance in Å.
Fractional positions:
Pm: 0.0000 0.0000 0.5000  8 Cd 3.36-3.40
Pm: 0.0000 0.0000 0.0000  4 Nd 3.36, 4 Cd 3.37
Pm: 0.0000 0.5000 0.2653  6 Cd 3.25-3.37, 2 Nd 3.53
Pm: 0.0000 0.5000 0.7347  6 Cd 3.25-3.37, 2 Nd 3.53
Nd: 0.5000 0.5000 0.0000  8 Pm 3.36-3.53
Cd: 0.5000 0.5000 0.5000  8 Pm 3.25-3.36
Cd: 0.5000 0.0000 0.2484  8 Pm 3.37-3.40
Cd: 0.5000 0.0000 0.7516  8 Pm 3.37-3.40